Here is Ta2SnO6 at its PBEsol-relaxed geometry from Alexandria. Energies are from SCAN.

abc: 17.2330 4.8625 5.5484
angles: 90.00 91.45 90.00
Last column: nearest neighbours and their distance in Å.
Space group C2/c (No. 15)
Unique sites:
Ta 0.1698 0.2423 0.1609 [8 per cell]  4 O 1.88-2.00
Sn 0.0000 0.2345 0.7500 [4 per cell]  4 O 2.17-2.37
O 0.0726 0.0783 0.0917 [8 per cell]  1 Ta 1.89
O 0.1432 0.4621 0.4254 [8 per cell]  2 Ta 1.88-1.99
O 0.2193 0.0617 0.8520 [8 per cell]  3 Ta 2.00-2.14

Output
Size of the total moment (μB per atom): 0.00
Energy relative to the elements, uncorrected (eV/atom): -2.701



Here is Ta2Sn2O7 at its PBEsol-relaxed geometry from Alexandria. Energies are from SCAN.

abc: 10.6061 10.6061 10.6061
angles: 90.00 90.00 90.00
Last column: nearest neighbours and their distance in Å.
Space group Fd-3m (No. 227, origin choice 2)
Unique sites:
Ta 0.0000 0.0000 0.0000 [16 per cell]  6 O 1.99
Sn 0.0000 0.0000 0.5000 [16 per cell]  2 O 2.30
O 0.0632 0.3750 0.3750 [48 per cell]  2 Ta 1.99
O 0.1250 0.1250 0.6250 [8 per cell]  4 Sn 2.30

Output
Size of the total moment (μB per atom): 0.00
Energy relative to the elements, uncorrected (eV/atom): -2.323